1.
# MgNi2Bi2

A relaxed MgNi2Bi2 crystal (PBE-GGA, Alexandria via LeMat-Bulk).

Summary:
As for the crystal system: tetragonal. The space group is P4/mbm. The energy relative to the lowest polymorph listed for this composition comes out at 0.000 eV/atom. For the formation energy, the calculation gives 0.036 eV per atom.

Cell: 7.1689 7.1689 3.8361 Å, 90.00 90.00 90.00°
Positions (direct):
Mg: 0.0000 0.0000 0.0000
Mg: 0.5000 0.5000 0.0000
Ni: 0.1254 0.3746 0.0000
Ni: 0.3746 0.8746 0.0000
Ni: 0.6254 0.1254 0.0000
Ni: 0.8746 0.6254 0.0000
Bi: 0.1707 0.6707 0.5000
Bi: 0.3293 0.1707 0.5000
Bi: 0.6707 0.8293 0.5000
Bi: 0.8293 0.3293 0.5000


2.
# Pm11Cd9Rh4

A relaxed Pm11Cd9Rh4 crystal (PBE-GGA, Alexandria via LeMat-Bulk).

Summary:
As for the crystal system: orthorhombic. The space group is Cmmm. For the formation energy, the calculation gives -0.502 eV per atom.

Cell: 13.2846 13.2846 3.7923 Å, 90.00 90.00 112.79°
Positions (direct):
Pm: 0.0000 0.0000 0.0000
Pm: 0.0799 0.4157 0.0000
Pm: 0.1614 0.8386 0.0000
Pm: 0.3071 0.3071 0.0000
Pm: 0.3724 0.6276 0.0000
Pm: 0.4157 0.0799 0.0000
Pm: 0.5843 0.9201 0.0000
Pm: 0.6276 0.3724 0.0000
Pm: 0.6929 0.6929 0.0000
Pm: 0.8386 0.1614 0.0000
Pm: 0.9201 0.5843 0.0000
Cd: 0.0725 0.2150 0.5000
Cd: 0.1575 0.6340 0.5000
Cd: 0.2150 0.0725 0.5000
Cd: 0.3660 0.8425 0.5000
Cd: 0.5000 0.5000 0.5000
Cd: 0.6340 0.1575 0.5000
Cd: 0.7850 0.9275 0.5000
Cd: 0.8425 0.3660 0.5000
Cd: 0.9275 0.7850 0.5000
Rh: 0.2506 0.4513 0.5000
Rh: 0.4513 0.2506 0.5000
Rh: 0.5487 0.7494 0.5000
Rh: 0.7494 0.5487 0.5000


3.
# NiIBr6

A relaxed NiIBr6 crystal (PBE-GGA, Alexandria via LeMat-Bulk).

Summary:
As for the crystal system: monoclinic. The space group is C2/m. The calculation puts the formation energy without anion corrections at -0.030 eV/atom.

Cell: 7.0448 11.8075 7.0694 Å, 90.00 108.46 90.00°
Positions (direct):
Ni: 0.0000 0.0000 0.0000
Ni: 0.5000 0.5000 0.0000
I: 0.0000 0.5000 0.5000
I: 0.5000 0.0000 0.5000
Br: 0.1932 0.1425 0.1921
Br: 0.1932 0.8575 0.1921
Br: 0.2351 0.5000 0.2665
Br: 0.2649 0.0000 0.7335
Br: 0.3068 0.3575 0.8079
Br: 0.3068 0.6425 0.8079
Br: 0.6932 0.3575 0.1921
Br: 0.6932 0.6425 0.1921
Br: 0.7351 0.0000 0.2665
Br: 0.7649 0.5000 0.7335
Br: 0.8068 0.1425 0.8079
Br: 0.8068 0.8575 0.8079


4.
# Li2LaZn6

A relaxed Li2LaZn6 crystal (PBE-GGA, Alexandria via LeMat-Bulk).

Summary:
As for the crystal system: hexagonal. The space group is P6/mmm. The energy relative to the lowest polymorph listed for this composition comes out at 0.000 eV/atom. For the formation energy, the calculation gives -0.125 eV per atom.

Cell: 7.9047 7.9047 3.1978 Å, 90.00 90.00 120.00°
Positions (direct):
Li: 0.3333 0.6667 0.0000
Li: 0.6667 0.3333 0.0000
La: 0.0000 0.0000 0.0000
Zn: 0.0000 0.3441 0.5000
Zn: 0.0000 0.6559 0.5000
Zn: 0.3441 0.0000 0.5000
Zn: 0.3441 0.3441 0.5000
Zn: 0.6559 0.0000 0.5000
Zn: 0.6559 0.6559 0.5000


5.
# La2ZnCdF

A relaxed La2ZnCdF crystal (PBE-GGA, Alexandria via LeMat-Bulk).

Summary:
As for the crystal system: tetragonal. The space group is P4/mmm. The calculation puts the formation energy without anion corrections at -0.152 eV/atom.

Cell: 6.0414 6.0414 4.7669 Å, 90.00 90.00 90.00°
Positions (direct):
La: 0.0000 0.5000 0.0000
La: 0.5000 0.0000 0.0000
Zn: 0.0000 0.0000 0.5000
Cd: 0.0000 0.0000 0.0000
F: 0.5000 0.5000 0.5000


6.
# Cs2ScIn

A relaxed Cs2ScIn crystal (PBE-GGA, Alexandria via LeMat-Bulk).

Summary:
As for the crystal system: tetragonal. The space group is I-42d. The energy relative to the lowest polymorph listed for this composition comes out at 0.000 eV/atom. For the formation energy, the calculation gives 0.460 eV per atom.

Cell: 14.3813 14.3813 5.6337 Å, 90.00 90.00 90.00°
Positions (direct):
Cs: 0.0913 0.7500 0.1250
Cs: 0.2500 0.0913 0.8750
Cs: 0.2500 0.4087 0.3750
Cs: 0.4087 0.7500 0.6250
Cs: 0.5913 0.2500 0.6250
Cs: 0.7500 0.5913 0.3750
Cs: 0.7500 0.9087 0.8750
Cs: 0.9087 0.2500 0.1250
Sc: 0.0000 0.0000 0.5000
Sc: 0.0000 0.5000 0.7500
Sc: 0.5000 0.0000 0.2500
Sc: 0.5000 0.5000 0.0000
In: 0.0000 0.0000 0.0000
In: 0.0000 0.5000 0.2500
In: 0.5000 0.0000 0.7500
In: 0.5000 0.5000 0.5000


7.
# HgPdAu6

A relaxed HgPdAu6 crystal (PBE-GGA, Alexandria via LeMat-Bulk).

Summary:
As for the crystal system: orthorhombic. The space group is Amm2. The energy relative to the lowest polymorph listed for this composition comes out at 0.028 eV/atom. For the formation energy, the calculation gives 0.021 eV per atom.

Cell: 4.8350 6.1459 9.7822 Å, 90.00 90.00 90.00°
Positions (direct):
Hg: 0.0000 0.0000 0.0000
Hg: 0.0000 0.5000 0.5000
Pd: 0.5000 0.0000 0.6834
Pd: 0.5000 0.5000 0.1834
Au: 0.0000 0.0000 0.5015
Au: 0.0000 0.2459 0.7495
Au: 0.0000 0.2541 0.2495
Au: 0.0000 0.5000 0.0015
Au: 0.0000 0.7459 0.2495
Au: 0.0000 0.7541 0.7495
Au: 0.5000 0.0000 0.1804
Au: 0.5000 0.2431 0.4303
Au: 0.5000 0.2569 0.9303
Au: 0.5000 0.5000 0.6804
Au: 0.5000 0.7431 0.9303
Au: 0.5000 0.7569 0.4303


8.
# FeNiMo

A relaxed FeNiMo crystal (PBE-GGA, Alexandria via LeMat-Bulk).

Summary:
As for the crystal system: cubic. The space group is F-43m. The energy relative to the lowest polymorph listed for this composition comes out at 0.529 eV/atom. For the formation energy, the calculation gives 0.556 eV per atom.

Cell: 5.5635 5.5635 5.5635 Å, 90.00 90.00 90.00°
Positions (direct):
Fe: 0.0000 0.0000 0.0000
Fe: 0.0000 0.5000 0.5000
Fe: 0.5000 0.0000 0.5000
Fe: 0.5000 0.5000 0.0000
Ni: 0.2500 0.2500 0.2500
Ni: 0.2500 0.7500 0.7500
Ni: 0.7500 0.2500 0.7500
Ni: 0.7500 0.7500 0.2500
Mo: 0.2500 0.2500 0.7500
Mo: 0.2500 0.7500 0.2500
Mo: 0.7500 0.2500 0.2500
Mo: 0.7500 0.7500 0.7500


9.
# Tb2HoSn

A relaxed Tb2HoSn crystal (PBE-GGA, Alexandria via LeMat-Bulk).

Summary:
As for the crystal system: tetragonal. The space group is P4/mmm. The energy relative to the lowest polymorph listed for this composition comes out at 0.000 eV/atom. For the formation energy, the calculation gives -0.422 eV per atom.

Cell: 4.8065 4.8065 4.8136 Å, 90.00 90.00 90.00°
Positions (direct):
Tb: 0.0000 0.5000 0.0000
Tb: 0.5000 0.0000 0.0000
Ho: 0.0000 0.0000 0.5000
Sn: 0.5000 0.5000 0.5000


10.
# CaReTe2

A relaxed CaReTe2 crystal (PBE-GGA, Alexandria via LeMat-Bulk).

Summary:
As for the crystal system: monoclinic. The space group is Cm. The calculation puts the formation energy without anion corrections at -0.130 eV/atom. The energy relative to the lowest polymorph listed for this composition comes out at 0.084 eV/atom.

Cell: 9.1323 3.5382 6.9178 Å, 90.00 110.49 90.00°
Positions (direct):
Ca: 0.0000 0.0000 0.0000
Ca: 0.5000 0.5000 0.0000
Re: 0.3105 0.0000 0.5931
Re: 0.8105 0.5000 0.5931
Te: 0.1210 0.5000 0.6716
Te: 0.2900 0.5000 0.2820
Te: 0.6210 0.0000 0.6716
Te: 0.7900 0.0000 0.2820


11.
# Be2CuAs

A relaxed Be2CuAs crystal (PBE-GGA, Alexandria via LeMat-Bulk).

Summary:
As for the crystal system: monoclinic. The space group is Cm. For the formation energy, the calculation gives 0.204 eV per atom.

Cell: 7.3514 3.5079 3.9708 Å, 90.00 102.31 90.00°
Positions (direct):
Be: 0.0000 0.0000 0.0000
Be: 0.2148 0.5000 0.0850
Be: 0.5000 0.5000 0.0000
Be: 0.7148 0.0000 0.0850
Cu: 0.2386 0.0000 0.7242
Cu: 0.7386 0.5000 0.7242
As: 0.4762 0.0000 0.3738
As: 0.9762 0.5000 0.3738


12.
# Pr5ErSn4

A relaxed Pr5ErSn4 crystal (PBE-GGA, Alexandria via LeMat-Bulk).

Summary:
As for the crystal system: monoclinic. The space group is C2/m. For the formation energy, the calculation gives -0.547 eV per atom.

Cell: 8.7913 8.7913 7.3083 Å, 90.93 90.93 36.02°
Positions (direct):
Pr: 0.0000 0.0000 0.0000
Pr: 0.3326 0.3326 0.4933
Pr: 0.3346 0.3346 0.0011
Pr: 0.6654 0.6654 0.9989
Pr: 0.6674 0.6674 0.5067
Er: 0.0000 0.0000 0.5000
Sn: 0.1723 0.1723 0.7482
Sn: 0.4925 0.4925 0.7394
Sn: 0.5075 0.5075 0.2606
Sn: 0.8277 0.8277 0.2518


13.
# NaZnGe3

A relaxed NaZnGe3 crystal (PBE-GGA, Alexandria via LeMat-Bulk).

Summary:
As for the crystal system: cubic. The space group is Pm-3m. The energy relative to the lowest polymorph listed for this composition comes out at 0.640 eV/atom. For the formation energy, the calculation gives 1.049 eV per atom.

Cell: 5.0712 5.0712 5.0712 Å, 90.00 90.00 90.00°
Positions (direct):
Na: 0.0000 0.0000 0.0000
Zn: 0.5000 0.5000 0.5000
Ge: 0.0000 0.0000 0.5000
Ge: 0.0000 0.5000 0.0000
Ge: 0.5000 0.0000 0.0000


14.
# SrPa2TcN5

A relaxed SrPa2TcN5 crystal (PBE-GGA, Alexandria via LeMat-Bulk).

Summary:
As for the crystal system: tetragonal. The space group is I4/mcm. The calculation puts the formation energy without anion corrections at -1.099 eV/atom.

Cell: 7.4690 7.4690 7.4690 Å, 126.84 126.84 78.52°
Positions (direct):
Sr: 0.2500 0.2500 0.0000
Sr: 0.7500 0.7500 0.0000
Pa: 0.1825 0.6825 0.8651
Pa: 0.3175 0.1825 0.5000
Pa: 0.6825 0.8175 0.5000
Pa: 0.8175 0.3175 0.1349
Tc: 0.2500 0.7500 0.5000
Tc: 0.7500 0.2500 0.5000
N: 0.0000 0.0000 0.0000
N: 0.0132 0.2269 0.5000
N: 0.2269 0.7269 0.2137
N: 0.2731 0.4868 0.5000
N: 0.4868 0.9868 0.2137
N: 0.5000 0.5000 0.0000
N: 0.5132 0.0132 0.7863
N: 0.7269 0.5132 0.5000
N: 0.7731 0.2731 0.7863
N: 0.9868 0.7731 0.5000


15.
# H2RhN2

A relaxed H2RhN2 crystal (PBE-GGA, Alexandria via LeMat-Bulk).

Summary:
As for the crystal system: tetragonal. The space group is P4/mbm. The energy relative to the lowest polymorph listed for this composition comes out at 0.000 eV/atom.

Cell: 4.6685 4.6685 7.0487 Å, 90.00 90.00 90.00°
Positions (direct):
H: 0.1700 0.3300 0.0000
H: 0.3300 0.8300 0.0000
H: 0.6700 0.1700 0.0000
H: 0.8300 0.6700 0.0000
Rh: 0.0000 0.0000 0.0000
Rh: 0.5000 0.5000 0.0000
N: 0.0840 0.5840 0.5000
N: 0.4160 0.0840 0.5000
N: 0.5840 0.9160 0.5000
N: 0.9160 0.4160 0.5000


16.
# Cs2CdH

A relaxed Cs2CdH crystal (PBE-GGA, Alexandria via LeMat-Bulk).

Summary:
As for the crystal system: tetragonal. The space group is P4/mmm. The energy relative to the lowest polymorph listed for this composition comes out at 0.015 eV/atom.

Cell: 4.0996 4.0996 9.4166 Å, 90.00 90.00 90.00°
Positions (direct):
Cs: 0.0000 0.0000 0.2024
Cs: 0.0000 0.0000 0.7976
Cd: 0.5000 0.5000 0.5000
H: 0.5000 0.5000 0.0000


17.
# Th2InSn9

A relaxed Th2InSn9 crystal (PBE-GGA, Alexandria via LeMat-Bulk).

Summary:
As for the crystal system: tetragonal. The space group is P4/mmm. For the formation energy, the calculation gives -0.256 eV per atom.

Cell: 4.7242 4.7242 14.6793 Å, 90.00 90.00 90.00°
Positions (direct):
Th: 0.0000 0.0000 0.1557
Th: 0.0000 0.0000 0.8443
In: 0.0000 0.0000 0.5000
Sn: 0.0000 0.5000 0.0000
Sn: 0.0000 0.5000 0.3320
Sn: 0.0000 0.5000 0.6680
Sn: 0.5000 0.0000 0.0000
Sn: 0.5000 0.0000 0.3320
Sn: 0.5000 0.0000 0.6680
Sn: 0.5000 0.5000 0.1657
Sn: 0.5000 0.5000 0.5000
Sn: 0.5000 0.5000 0.8343


18.
# PrEr2Sc2

A relaxed PrEr2Sc2 crystal (PBE-GGA, Alexandria via LeMat-Bulk).

Summary:
As for the crystal system: orthorhombic. The space group is Fddd. The energy relative to the lowest polymorph listed for this composition comes out at 0.419 eV/atom. For the formation energy, the calculation gives 0.548 eV per atom.

Cell: 12.0539 11.0731 6.2106 Å, 83.37 65.85 30.78°
Positions (direct):
Pr: 0.1250 0.1250 0.1250
Pr: 0.8750 0.8750 0.8750
Er: 0.2068 0.5432 0.2068
Er: 0.4568 0.7932 0.4568
Er: 0.5432 0.2068 0.5432
Er: 0.7932 0.4568 0.7932
Sc: 0.0000 0.0000 0.0000
Sc: 0.0000 0.0000 0.5000
Sc: 0.0000 0.5000 0.0000
Sc: 0.5000 0.0000 0.0000


19.
# Pm5Er2Sc2

A relaxed Pm5Er2Sc2 crystal (PBE-GGA, Alexandria via LeMat-Bulk).

Summary:
As for the crystal system: orthorhombic. The space group is Ima2. The energy relative to the lowest polymorph listed for this composition comes out at 0.230 eV/atom. For the formation energy, the calculation gives 0.254 eV per atom.

Cell: 10.0195 10.0195 10.0195 Å, 83.78 108.51 142.27°
Positions (direct):
Pm: 0.2109 0.0556 0.2665
Pm: 0.2109 0.4444 0.6553
Pm: 0.2735 0.6405 0.9287
Pm: 0.2735 0.8448 0.1331
Pm: 0.4478 0.3863 0.5615
Pm: 0.7117 0.1405 0.8669
Pm: 0.7117 0.3448 0.0713
Pm: 0.7891 0.5556 0.3447
Pm: 0.7891 0.9444 0.7335
Pm: 0.8248 0.8863 0.4385
Er: 0.2123 0.9701 0.7422
Er: 0.2278 0.4701 0.2578
Er: 0.3360 0.3360 0.0000
Er: 0.3360 0.8360 0.5000
Sc: 0.7766 0.1833 0.3616
Sc: 0.7766 0.9150 0.0933
Sc: 0.8217 0.4150 0.6384
Sc: 0.8217 0.6833 0.9067


20.
# PrSm2Ho

A relaxed PrSm2Ho crystal (PBE-GGA, Alexandria via LeMat-Bulk).

Summary:
As for the crystal system: trigonal. The space group is R-3m. The energy relative to the lowest polymorph listed for this composition comes out at 0.001 eV/atom. For the formation energy, the calculation gives 0.018 eV per atom.

Cell: 3.6230 3.6230 35.4992 Å, 90.00 90.00 120.00°
Positions (direct):
Pr: 0.0000 0.0000 0.0000
Pr: 0.3333 0.6667 0.6667
Pr: 0.6667 0.3333 0.3333
Sm: 0.0000 0.0000 0.2481
Sm: 0.0000 0.0000 0.7519
Sm: 0.3333 0.6667 0.4185
Sm: 0.3333 0.6667 0.9148
Sm: 0.6667 0.3333 0.0852
Sm: 0.6667 0.3333 0.5815
Ho: 0.0000 0.0000 0.5000
Ho: 0.3333 0.6667 0.1667
Ho: 0.6667 0.3333 0.8333


Number 1: calculated total energy -41.477 eV per cell. Number 2: calculated total energy -101.951 eV per cell. Number 3: calculated total energy -35.212 eV per cell. Number 4: calculated total energy -17.527 eV per cell. Number 5: calculated total energy -14.677 eV per cell. Number 6: calculated total energy -35.754 eV per cell. Number 7: calculated total energy -49.987 eV per cell. Number 8: calculated total energy -93.624 eV per cell. Number 9: calculated total energy -19.528 eV per cell. Number 10: calculated total energy -42.506 eV per cell. Number 11: calculated total energy -30.760 eV per cell. Number 12: calculated total energy -49.938 eV per cell. Number 13: calculated total energy -11.202 eV per cell. Number 14: calculated total energy -165.112 eV per cell. Number 15: calculated total energy -56.727 eV per cell. Number 16: calculated total energy -5.902 eV per cell. Number 17: calculated total energy -56.678 eV per cell. Number 18: calculated total energy -47.660 eV per cell. Number 19: calculated total energy -86.511 eV per cell. Number 20: calculated total energy -56.167 eV per cell.